NiAsC2 | PBE-GGA | relaxed

Structure (CIF):
```
data_NiAsC2
_symmetry_space_group_name_H-M 'P 1'
_symmetry_Int_Tables_number 1
_cell_length_a 3.5326
_cell_length_b 3.1566
_cell_length_c 9.3568
_cell_angle_alpha 90.00
_cell_angle_beta 103.33
_cell_angle_gamma 90.00
loop_
_symmetry_equiv_pos_as_xyz
'x,y,z'
loop_
_atom_site_label
_atom_site_fract_x
_atom_site_fract_y
_atom_site_fract_z
C1 0.0490 0.0000 0.5514
Ni1 0.4503 0.0000 0.4574
As1 0.8549 0.5000 0.7919
As2 0.8549 0.0000 0.2919
C2 0.8432 0.5000 0.1540
C3 0.0490 0.5000 0.0514
C4 0.8432 0.0000 0.6540
Ni2 0.4503 0.5000 0.9574
```

Results
energy of formation from the pure elements: 811 meV per atom
space group: Cm, No. 8
excess energy over the best structure of this formula in the dataset: 336.6 meV/atom
ρ: 5.2 Mg/m³
DFT total energy: -6.41 eV/atom
total magnetic moment: 0.0 μB per formula unit